Material: MnTlTc2
Method: DFT, SCAN
State: single point on PBEsol structure

Computed properties:
- Uncorrected energy: -39.802 eV/atom
- Energy above the lowest structure with this stoichiometry: 0 meV per atom
- SG: No. 123
- DOS at the Fermi energy: 4.11 states/eV per cell

abc: 2.9174 2.9174 7.0934
angles: 90.00 90.00 90.00
With the nearest neighbours (Å) after each atom.
Fractional coordinates of all 4 atoms:
1 Tc 0.0000 0.0000 0.7013  4 Mn 2.51
2 Tc 0.0000 0.0000 0.2987  4 Mn 2.51
3 Tl 0.5000 0.5000 0.0000  4 Tl 2.92, 8 Tc 2.96
4 Mn 0.5000 0.5000 0.5000  8 Tc 2.51